# 1
The following is a DFT calculation (PBE) of a relaxed LaCdHgSe2 crystal.

Lattice parameters (Å, degrees): 5.710 5.710 6.681 90.00 90.00 90.00
Element x y z (fractional)
La: 0.000 0.000 0.000
Cd: 0.500 0.500 0.500
Hg: 0.000 0.000 0.500
Se: 0.000 0.500 0.000
Se: 0.500 0.000 0.000

Space-group type: P4/mmm (123)
Fermi-level density of states: 4.89 states/eV/f.u.
Magnetic moment: 0.00 μB/cell
Final energy: -15.087 eV per formula unit

---

# 2
The following is a DFT calculation (PBE) of a relaxed NdYPu2N4 crystal.

Lattice parameters (Å, degrees): 6.064 3.522 6.110 90.00 109.54 90.00
Element x y z (fractional)
Nd: 0.000 0.000 0.000
Y: 0.000 0.500 0.500
Pu: 0.500 0.000 0.500
Pu: 0.500 0.500 0.000
N: 0.265 0.000 0.747
N: 0.271 0.500 0.265
N: 0.729 0.500 0.735
N: 0.735 0.000 0.253

Space-group type: P2/m (10)
Fermi-level density of states: 12.86 states/eV/f.u.
Magnetic moment: 9.38 μB/cell
Final energy: -84.319 eV per formula unit

---

# 3
The following is a DFT calculation (PBE) of a relaxed CrGa crystal.

Lattice parameters (Å, degrees): 7.142 7.142 7.142 90.00 90.00 90.00
Element x y z (fractional)
Cr: 0.000 0.250 0.500
Cr: 0.000 0.750 0.500
Cr: 0.250 0.500 0.000
Cr: 0.500 0.000 0.250
Cr: 0.500 0.000 0.750
Cr: 0.750 0.500 0.000
Ga: 0.000 0.500 0.250
Ga: 0.000 0.500 0.750
Ga: 0.250 0.000 0.500
Ga: 0.500 0.250 0.000
Ga: 0.500 0.750 0.000
Ga: 0.750 0.000 0.500

Space-group type: Pm-3n (223)
Fermi-level density of states: 2.32 states/eV/f.u.
Magnetic moment: 23.39 μB/cell
Final energy: -10.110 eV per formula unit
Energy of formation from the pure elements: 1270 meV/atom

---

# 4
The following is a DFT calculation (PBE) of a relaxed Rb4Tl2Au crystal.

Lattice parameters (Å, degrees): 9.913 9.913 9.913 139.11 139.11 59.20
Element x y z (fractional)
Rb: 0.000 0.500 0.500
Rb: 0.195 0.195 0.000
Rb: 0.500 0.000 0.500
Rb: 0.805 0.805 0.000
Tl: 0.412 0.412 0.000
Tl: 0.588 0.588 0.000
Au: 0.000 0.000 0.000

Space-group type: I4/mmm (139)
Fermi-level density of states: 5.44 states/eV/f.u.
Magnetic moment: 0.00 μB/cell
Final energy: -11.953 eV per formula unit
Energy of formation from the pure elements: -10 meV/atom

---

# 5
The following is a DFT calculation (PBE) of a relaxed KScAs2F crystal.

Lattice parameters (Å, degrees): 4.911 4.911 4.445 90.00 90.00 90.00
Element x y z (fractional)
K: 0.000 0.000 0.000
Sc: 0.500 0.500 0.000
As: 0.000 0.500 0.500
As: 0.500 0.000 0.500
F: 0.000 0.000 0.500

Space-group type: P4/mmm (123)
Fermi-level density of states: 2.84 states/eV/f.u.
Magnetic moment: 0.00 μB/cell
Final energy: -21.005 eV per formula unit

---

# 6
The following is a DFT calculation (PBE) of a relaxed Li3Dy2Cd4 crystal.

Lattice parameters (Å, degrees): 8.509 8.509 8.381 90.00 90.00 139.09
Element x y z (fractional)
Li: 0.000 0.000 0.000
Li: 0.026 0.474 0.250
Li: 0.474 0.026 0.750
Li: 0.500 0.500 0.500
Li: 0.526 0.974 0.250
Li: 0.974 0.526 0.750
Dy: 0.111 0.889 0.410
Dy: 0.389 0.611 0.910
Dy: 0.611 0.389 0.090
Dy: 0.889 0.111 0.590
Cd: 0.181 0.819 0.028
Cd: 0.196 0.304 0.250
Cd: 0.304 0.196 0.750
Cd: 0.319 0.681 0.528
Cd: 0.681 0.319 0.472
Cd: 0.696 0.804 0.250
Cd: 0.804 0.696 0.750
Cd: 0.819 0.181 0.972

Space-group type: Cmce (64)
Energy relative to the lowest polymorph listed for this composition: 16 meV/atom
Fermi-level density of states: 5.64 states/eV/f.u.
Magnetic moment: 0.00 μB/cell
Final energy: -20.483 eV per formula unit
Energy of formation from the pure elements: -209 meV/atom

---

# 7
The following is a DFT calculation (PBE) of a relaxed Hf6Pt2Rh crystal.

Lattice parameters (Å, degrees): 5.623 7.280 10.477 90.00 121.48 90.00
Element x y z (fractional)
Hf: 0.071 0.062 0.241
Hf: 0.071 0.438 0.741
Hf: 0.211 0.733 0.068
Hf: 0.211 0.767 0.568
Hf: 0.383 0.148 0.042
Hf: 0.383 0.352 0.542
Hf: 0.617 0.648 0.458
Hf: 0.617 0.852 0.958
Hf: 0.789 0.233 0.432
Hf: 0.789 0.267 0.932
Hf: 0.929 0.562 0.259
Hf: 0.929 0.938 0.759
Pt: 0.320 0.097 0.713
Pt: 0.320 0.403 0.213
Pt: 0.680 0.597 0.787
Pt: 0.680 0.903 0.287
Rh: 0.500 0.000 0.500
Rh: 0.500 0.500 0.000

Space-group type: P2_1/c (14)
Energy relative to the lowest polymorph listed for this composition: 54 meV/atom
Fermi-level density of states: 7.01 states/eV/f.u.
Magnetic moment: 0.00 μB/cell
Final energy: -84.371 eV per formula unit
Energy of formation from the pure elements: -580 meV/atom

---

# 8
The following is a DFT calculation (PBE) of a relaxed CoPt6Rh8 crystal.

Lattice parameters (Å, degrees): 7.296 7.296 5.237 90.00 90.00 120.00
Element x y z (fractional)
Co: 0.000 0.000 0.000
Pt: 0.049 0.365 0.099
Pt: 0.315 0.951 0.099
Pt: 0.365 0.315 0.901
Pt: 0.635 0.685 0.099
Pt: 0.685 0.049 0.901
Pt: 0.951 0.635 0.901
Rh: 0.045 0.684 0.411
Rh: 0.316 0.361 0.411
Rh: 0.333 0.667 0.731
Rh: 0.361 0.045 0.589
Rh: 0.639 0.955 0.411
Rh: 0.667 0.333 0.269
Rh: 0.684 0.639 0.589
Rh: 0.955 0.316 0.589

Space-group type: P-3 (147)
Energy relative to the lowest polymorph listed for this composition: 0 meV/atom
Fermi-level density of states: 28.24 states/eV/f.u.
Magnetic moment: 3.72 μB/cell
Final energy: -97.886 eV per formula unit
Energy of formation from the pure elements: 285 meV/atom

---

# 9
The following is a DFT calculation (PBE) of a relaxed Nd2ThSc7 crystal.

Lattice parameters (Å, degrees): 14.053 14.053 3.311 90.00 90.00 154.75
Element x y z (fractional)
Nd: 0.208 0.792 0.000
Nd: 0.792 0.208 0.000
Th: 0.500 0.500 0.500
Sc: 0.000 0.000 0.000
Sc: 0.158 0.352 0.000
Sc: 0.319 0.681 0.500
Sc: 0.352 0.158 0.000
Sc: 0.648 0.842 0.000
Sc: 0.681 0.319 0.500
Sc: 0.842 0.648 0.000

Space-group type: Cmmm (65)
Fermi-level density of states: 17.63 states/eV/f.u.
Magnetic moment: 0.00 μB/cell
Final energy: -59.719 eV per formula unit
Energy of formation from the pure elements: 156 meV/atom

---

# 10
The following is a DFT calculation (PBE) of a relaxed PrPuNi2 crystal.

Lattice parameters (Å, degrees): 3.454 3.454 6.803 90.00 90.00 90.00
Element x y z (fractional)
Pr: 0.000 0.000 0.000
Pu: 0.000 0.000 0.500
Ni: 0.500 0.500 0.283
Ni: 0.500 0.500 0.717

Space-group type: P4/mmm (123)
Fermi-level density of states: 13.44 states/eV/f.u.
Magnetic moment: 5.46 μB/cell
Final energy: -31.044 eV per formula unit
Energy of formation from the pure elements: -92 meV/atom

---

# 11
The following is a DFT calculation (PBE) of a relaxed TlSbRu2 crystal.

Lattice parameters (Å, degrees): 4.635 4.635 3.278 90.00 90.00 90.00
Element x y z (fractional)
Tl: 0.000 0.000 0.000
Sb: 0.500 0.500 0.000
Ru: 0.000 0.500 0.500
Ru: 0.500 0.000 0.500

Space-group type: P4/mmm (123)
Fermi-level density of states: 2.07 states/eV/f.u.
Magnetic moment: 0.00 μB/cell
Final energy: -23.795 eV per formula unit

---

# 12
The following is a DFT calculation (PBE) of a relaxed PrTl2InTe4 crystal.

Lattice parameters (Å, degrees): 7.126 7.126 7.126 107.06 107.06 114.41
Element x y z (fractional)
Pr: 0.000 0.000 0.000
Tl: 0.000 0.500 0.500
Tl: 0.500 0.000 0.500
In: 0.500 0.500 0.000
Te: 0.086 0.468 0.000
Te: 0.468 0.086 0.000
Te: 0.532 0.532 0.618
Te: 0.914 0.914 0.382

Space-group type: I-42m (121)
Energy relative to the lowest polymorph listed for this composition: 0 meV/atom
Magnetic moment: 0.00 μB/cell
Final energy: -29.934 eV per formula unit

---

# 13
The following is a DFT calculation (PBE) of a relaxed La4Tc crystal.

Lattice parameters (Å, degrees): 5.992 5.992 5.992 109.47 109.47 109.47
Element x y z (fractional)
La: 0.000 0.000 0.500
La: 0.000 0.500 0.000
La: 0.500 0.000 0.000
La: 0.500 0.500 0.500
Tc: 0.000 0.000 0.000

Space-group type: Im-3m (229)
Energy relative to the lowest polymorph listed for this composition: 307 meV/atom
Fermi-level density of states: 5.09 states/eV/f.u.
Magnetic moment: 0.00 μB/cell
Final energy: -28.822 eV per formula unit
Energy of formation from the pure elements: 251 meV/atom

---

# 14
The following is a DFT calculation (PBE) of a relaxed SrSN2 crystal.

Lattice parameters (Å, degrees): 6.043 6.043 6.043 129.03 129.03 74.97
Element x y z (fractional)
Sr: 0.000 0.000 0.000
Sr: 0.750 0.250 0.500
S: 0.250 0.750 0.500
S: 0.500 0.500 0.000
N: 0.236 0.625 0.111
N: 0.375 0.486 0.611
N: 0.514 0.125 0.889
N: 0.875 0.764 0.389

Space-group type: I-42d (122)
Energy relative to the lowest polymorph listed for this composition: 404 meV/atom
Fermi-level density of states: 0.16 states/eV/f.u.
Magnetic moment: 0.00 μB/cell
Final energy: -20.392 eV per formula unit

---

# 15
The following is a DFT calculation (PBE) of a relaxed Pa3CoNi crystal.

Lattice parameters (Å, degrees): 8.492 6.690 7.406 90.00 107.02 90.00
Element x y z (fractional)
Pa: 0.040 0.024 0.197
Pa: 0.040 0.476 0.697
Pa: 0.286 0.698 0.107
Pa: 0.286 0.802 0.607
Pa: 0.365 0.179 0.983
Pa: 0.365 0.321 0.483
Pa: 0.635 0.679 0.517
Pa: 0.635 0.821 0.017
Pa: 0.714 0.198 0.393
Pa: 0.714 0.302 0.893
Pa: 0.960 0.524 0.303
Pa: 0.960 0.976 0.803
Co: 0.430 0.511 0.818
Co: 0.430 0.989 0.318
Co: 0.570 0.011 0.682
Co: 0.570 0.489 0.182
Ni: 0.098 0.146 0.549
Ni: 0.098 0.354 0.049
Ni: 0.902 0.646 0.951
Ni: 0.902 0.854 0.451

Space-group type: P2_1/c (14)
Energy relative to the lowest polymorph listed for this composition: 0 meV/atom
Fermi-level density of states: 7.68 states/eV/f.u.
Magnetic moment: 0.00 μB/cell
Final energy: -42.604 eV per formula unit
Energy of formation from the pure elements: -246 meV/atom

---

# 16
The following is a DFT calculation (PBE) of a relaxed SrTl3Bi2 crystal.

Lattice parameters (Å, degrees): 6.649 6.649 5.729 90.00 90.00 127.46
Element x y z (fractional)
Sr: 0.000 0.000 0.000
Tl: 0.171 0.829 0.500
Tl: 0.500 0.500 0.500
Tl: 0.829 0.171 0.500
Bi: 0.310 0.690 0.000
Bi: 0.690 0.310 0.000

Space-group type: Cmmm (65)
Fermi-level density of states: 4.25 states/eV/f.u.
Magnetic moment: 0.00 μB/cell
Final energy: -17.805 eV per formula unit
Energy of formation from the pure elements: -210 meV/atom

---

# 17
The following is a DFT calculation (PBE) of a relaxed Re3AuO12 crystal.

Lattice parameters (Å, degrees): 11.073 11.073 11.073 48.03 48.03 48.03
Element x y z (fractional)
Re: 0.027 0.367 0.607
Re: 0.107 0.867 0.527
Re: 0.367 0.607 0.027
Re: 0.527 0.107 0.867
Re: 0.607 0.027 0.367
Re: 0.867 0.527 0.107
Au: 0.244 0.244 0.244
Au: 0.744 0.744 0.744
O: 0.053 0.385 0.417
O: 0.084 0.426 0.091
O: 0.091 0.084 0.426
O: 0.118 0.749 0.729
O: 0.229 0.249 0.618
O: 0.249 0.618 0.229
O: 0.255 0.798 0.892
O: 0.298 0.755 0.392
O: 0.385 0.417 0.053
O: 0.392 0.298 0.755
O: 0.417 0.053 0.385
O: 0.426 0.091 0.084
O: 0.553 0.917 0.885
O: 0.584 0.591 0.926
O: 0.591 0.926 0.584
O: 0.618 0.229 0.249
O: 0.729 0.118 0.749
O: 0.749 0.729 0.118
O: 0.755 0.392 0.298
O: 0.798 0.892 0.255
O: 0.885 0.553 0.917
O: 0.892 0.255 0.798
O: 0.917 0.885 0.553
O: 0.926 0.584 0.591

Space-group type: R3c (161)
Fermi-level density of states: 0.07 states/eV/f.u.
Magnetic moment: 4.03 μB/cell
Final energy: -119.517 eV per formula unit

---

# 18
The following is a DFT calculation (PBE) of a relaxed GaBi2H2 crystal.

Lattice parameters (Å, degrees): 4.826 4.925 9.023 95.81 100.09 90.51
Element x y z (fractional)
Ga: 0.198 0.308 0.002
Ga: 0.802 0.692 0.998
Bi: 0.180 0.178 0.692
Bi: 0.371 0.288 0.313
Bi: 0.629 0.712 0.687
Bi: 0.820 0.822 0.308
H: 0.171 0.670 0.999
H: 0.188 0.673 0.703
H: 0.812 0.327 0.297
H: 0.829 0.330 0.001

Space-group type: P-1 (2)
Energy relative to the lowest polymorph listed for this composition: 0 meV/atom
Fermi-level density of states: 1.03 states/eV/f.u.
Magnetic moment: 0.00 μB/cell
Final energy: -16.004 eV per formula unit

---

# 19
The following is a DFT calculation (PBE) of a relaxed CaPm2Pr3Te6 crystal.

Lattice parameters (Å, degrees): 10.082 10.082 9.056 103.20 103.20 25.69
Element x y z (fractional)
Ca: 0.000 0.000 0.000
Pm: 0.329 0.329 0.660
Pm: 0.671 0.671 0.340
Pr: 0.000 0.000 0.500
Pr: 0.332 0.332 0.171
Pr: 0.668 0.668 0.829
Te: 0.164 0.164 0.084
Te: 0.166 0.166 0.579
Te: 0.498 0.498 0.755
Te: 0.502 0.502 0.245
Te: 0.834 0.834 0.421
Te: 0.836 0.836 0.916

Space-group type: C2/m (12)
Fermi-level density of states: 5.97 states/eV/f.u.
Magnetic moment: 0.00 μB/cell
Final energy: -62.216 eV per formula unit

---

# 20
The following is a DFT calculation (PBE) of a relaxed In2CuAu crystal.

Lattice parameters (Å, degrees): 7.515 7.515 7.515 28.62 28.62 28.62
Element x y z (fractional)
In: 0.000 0.000 0.000
In: 0.178 0.178 0.178
Cu: 0.588 0.588 0.588
Au: 0.423 0.423 0.423

Space-group type: R3m (160)
Fermi-level density of states: 0.83 states/eV/f.u.
Magnetic moment: 0.00 μB/cell
Final energy: -12.712 eV per formula unit
Energy of formation from the pure elements: 34 meV/atom

---

# 21
The following is a DFT calculation (PBE) of a relaxed BeRe2Ni crystal.

Lattice parameters (Å, degrees): 2.706 3.893 4.879 90.00 105.69 90.00
Element x y z (fractional)
Be: 0.000 0.000 0.000
Re: 0.385 0.500 0.762
Re: 0.728 0.000 0.477
Ni: 0.106 0.500 0.223

Space-group type: Pm (6)
Fermi-level density of states: 3.04 states/eV/f.u.
Magnetic moment: 0.00 μB/cell
Final energy: -34.554 eV per formula unit
Energy of formation from the pure elements: -38 meV/atom

---

# 22
The following is a DFT calculation (PBE) of a relaxed La2GaBiOs crystal.

Lattice parameters (Å, degrees): 5.540 5.540 4.870 90.00 90.00 90.00
Element x y z (fractional)
La: 0.000 0.500 0.000
La: 0.500 0.000 0.000
Ga: 0.000 0.000 0.500
Bi: 0.500 0.500 0.500
Os: 0.000 0.000 0.000

Space-group type: P4/mmm (123)
Fermi-level density of states: 2.08 states/eV/f.u.
Magnetic moment: 0.00 μB/cell
Final energy: -30.528 eV per formula unit
Energy of formation from the pure elements: -507 meV/atom